Material: Np2AgF8
Method: DFT, PBE
State: relaxed

## Properties
- Energy above the lowest structure with this stoichiometry: 0.0 kJ/mol of formula units
- Formation energy without anion corrections: -3027 meV per atom
- Space group: No. 12
- Density of states at the Fermi level: 11.87 states/eV/f.u.

Unit cell a=6.8529 b=6.8529 c=4.1164 alpha=105.10 beta=105.10 gamma=65.45
With the nearest neighbours (Å) after each atom.
Element x y z (fractional)
Np 0.1748 0.1748 0.4117  8 F 2.26-2.53
Np 0.8252 0.8252 0.5883  8 F 2.26-2.53
Ag 0.5000 0.5000 0.0000  6 F 2.45-2.55
F 0.0576 0.0576 0.8036  3 F 2.39-2.44, 3 Np 2.40-2.55
F 0.1601 0.5617 0.5843  2 Np 2.26-2.53, 1 Ag 2.45
F 0.2794 0.2794 0.0058  2 Np 2.34-2.37, 1 F 2.43, 1 Ag 2.55
F 0.4383 0.8399 0.4157  2 Np 2.26-2.53, 1 Ag 2.45
F 0.5617 0.1601 0.5843  2 Np 2.26-2.53, 1 Ag 2.45
F 0.7206 0.7206 0.9942  2 Np 2.34-2.37, 1 F 2.43, 1 Ag 2.55
F 0.8399 0.4383 0.4157  2 Np 2.26-2.53, 1 Ag 2.45
F 0.9424 0.9424 0.1964  3 F 2.39-2.44, 3 Np 2.40-2.55

---

Material: Np2AgF8
Method: DFT, PBE
State: relaxed

## Properties
- Energy above the lowest structure with this stoichiometry: 18.5 kJ/mol of formula units
- Formation energy without anion corrections: -3010 meV per atom
- Space group: No. 12
- Density of states at the Fermi level: 10.09 states/eV/f.u.

Unit cell a=7.1076 b=7.1076 c=7.2644 alpha=99.23 beta=99.23 gamma=34.18
With the nearest neighbours (Å) after each atom.
Element x y z (fractional)
Np 0.2455 0.2455 0.2485  2 F 2.13-2.15
Np 0.7545 0.7545 0.7515  2 F 2.13-2.15
Ag 0.0000 0.0000 0.5000  6 F 2.42-2.64
F 0.0882 0.0882 0.2374  1 Np 2.13
F 0.2298 0.2298 0.5803  3 Np 2.42-2.45, 3 F 2.50-2.51
F 0.2793 0.2793 0.9289  3 Np 2.44-2.45, 3 F 2.51-2.52
F 0.4049 0.4049 0.3319  1 Np 2.15
F 0.5951 0.5951 0.6681  1 Np 2.15
F 0.7207 0.7207 0.0711  3 Np 2.44-2.45, 3 F 2.51-2.52
F 0.7702 0.7702 0.4197  3 Np 2.42-2.45, 3 F 2.50-2.51
F 0.9118 0.9118 0.7626  1 Np 2.13

---

Material: NpAgF6
Method: DFT, PBE
State: relaxed

## Properties
- Energy above the lowest structure with this stoichiometry: 7.9 kJ/mol of formula units
- Formation energy without anion corrections: -2759 meV per atom
- Space group: No. 163
- Density of states at the Fermi level: 8.21 states/eV/f.u.

Unit cell a=5.7288 b=5.7288 c=11.0575 alpha=90.00 beta=90.00 gamma=120.00
With the nearest neighbours (Å) after each atom.
Element x y z (fractional)
Np 0.0000 0.0000 0.0000  6 F 2.09
Np 0.0000 0.0000 0.5000  6 F 2.09
Ag 0.3333 0.6667 0.2500  6 F 2.44
Ag 0.6667 0.3333 0.7500  6 F 2.44
F 0.0357 0.3117 0.1106  1 Np 2.09
F 0.0357 0.7240 0.3894  1 Np 2.09
F 0.2760 0.3117 0.3894  1 Np 2.09
F 0.2760 0.9643 0.1106  1 Np 2.09
F 0.3117 0.0357 0.6106  1 Np 2.09
F 0.3117 0.2760 0.8894  1 Np 2.09
F 0.6883 0.7240 0.1106  1 Np 2.09
F 0.6883 0.9643 0.3894  1 Np 2.09
F 0.7240 0.0357 0.8894  1 Np 2.09
F 0.7240 0.6883 0.6106  1 Np 2.09
F 0.9643 0.2760 0.6106  1 Np 2.09
F 0.9643 0.6883 0.8894  1 Np 2.09

---

Material: NpAg3F8
Method: DFT, PBE
State: relaxed

## Properties
- Formation energy without anion corrections: -2080 meV per atom
- Space group: No. 21
- Density of states at the Fermi level: 11.71 states/eV/f.u.

Unit cell a=6.2830 b=6.2830 c=7.8227 alpha=90.00 beta=90.00 gamma=122.21
With the nearest neighbours (Å) after each atom.
Element x y z (fractional)
Np 0.0000 0.0000 0.0000  6 F 2.08-2.10
Ag 0.0000 0.0000 0.5000  2 F 2.15
Ag 0.0000 0.5000 0.2911  2 F 2.31
Ag 0.5000 0.0000 0.7089  2 F 2.31
F 0.1912 0.8088 0.0000  1 Np 2.10
F 0.1951 0.8049 0.5000  3 Ag 2.15-2.31
F 0.2286 0.2493 0.1902  1 Np 2.08
F 0.2493 0.2286 0.8098  1 Np 2.08
F 0.7507 0.7714 0.8098  1 Np 2.08
F 0.7714 0.7507 0.1902  1 Np 2.08
F 0.8049 0.1951 0.5000  3 Ag 2.15-2.31
F 0.8088 0.1912 0.0000  1 Np 2.10

---

Material: NpAgF5
Method: DFT, PBE
State: relaxed

## Properties
- Formation energy without anion corrections: -2755 meV per atom
- Space group: No. 14
- Density of states at the Fermi level: 8.13 states/eV/f.u.

Unit cell a=5.9453 b=11.5063 c=8.9229 alpha=90.00 beta=109.33 gamma=90.00
With the nearest neighbours (Å) after each atom.
Element x y z (fractional)
Np 0.0907 0.2432 0.3758  6 F 2.13-2.28
Np 0.0907 0.2568 0.8758  6 F 2.13-2.28
Np 0.9093 0.7432 0.1242  6 F 2.13-2.28
Np 0.9093 0.7568 0.6242  6 F 2.13-2.28
Ag 0.4969 0.9997 0.2225  4 F 2.32-2.54
Ag 0.4969 0.5003 0.7225  4 F 2.32-2.54
Ag 0.5031 0.0003 0.7775  4 F 2.32-2.54
Ag 0.5031 0.4997 0.2775  4 F 2.32-2.54
F 0.1043 0.2118 0.6303  2 Np 2.27-2.28
F 0.1043 0.2882 0.1303  2 Np 2.27-2.28
F 0.1399 0.5990 0.2090  1 Np 2.13, 1 Ag 2.34
F 0.1399 0.9010 0.7090  1 Np 2.13, 1 Ag 2.34
F 0.2099 0.6454 0.6655  1 Np 2.13, 1 Ag 2.32
F 0.2099 0.8546 0.1655  1 Np 2.13, 1 Ag 2.32
F 0.3284 0.1136 0.9660  1 Np 2.15
F 0.3284 0.3864 0.4660  1 Np 2.15
F 0.3836 0.1292 0.4059  1 Np 2.13
F 0.3836 0.3708 0.9059  1 Np 2.13
F 0.6164 0.6292 0.0941  1 Np 2.13
F 0.6164 0.8708 0.5941  1 Np 2.13
F 0.6716 0.6136 0.5340  1 Np 2.15
F 0.6716 0.8864 0.0340  1 Np 2.15
F 0.7901 0.1454 0.8345  1 Np 2.13, 1 Ag 2.32
F 0.7901 0.3546 0.3345  1 Np 2.13, 1 Ag 2.32
F 0.8601 0.0990 0.2910  1 Np 2.13, 1 Ag 2.34
F 0.8601 0.4010 0.7910  1 Np 2.13, 1 Ag 2.34
F 0.8957 0.7118 0.8697  2 Np 2.27-2.28
F 0.8957 0.7882 0.3697  2 Np 2.27-2.28

---

Material: NpAgF6
Method: DFT, PBE
State: relaxed

## Properties
- Energy above the lowest structure with this stoichiometry: 0.0 kJ/mol of formula units
- Formation energy without anion corrections: -2769 meV per atom
- Space group: No. 225
- Density of states at the Fermi level: 8.27 states/eV/f.u.

Unit cell a=6.3742 b=6.3742 c=6.3742 alpha=60.00 beta=60.00 gamma=60.00
With the nearest neighbours (Å) after each atom.
Element x y z (fractional)
Np 0.0000 0.0000 0.0000  6 F 2.09
Ag 0.5000 0.5000 0.5000  6 F 2.42
F 0.2316 0.2316 0.7684  1 Np 2.09
F 0.2316 0.7684 0.2316  1 Np 2.09
F 0.2316 0.7684 0.7684  1 Np 2.09
F 0.7684 0.2316 0.2316  1 Np 2.09
F 0.7684 0.2316 0.7684  1 Np 2.09
F 0.7684 0.7684 0.2316  1 Np 2.09

---

Material: NpAg2O2F4
Method: DFT, PBE
State: relaxed

## Properties
- Formation energy without anion corrections: -2096 meV per atom
- Space group: No. 12
- Density of states at the Fermi level: 0.07 states/eV/f.u.

Unit cell a=6.1566 b=6.1566 c=4.9482 alpha=108.49 beta=108.49 gamma=60.61
With the nearest neighbours (Å) after each atom.
Element x y z (fractional)
Np 0.0000 0.0000 0.0000  2 O 1.85
Ag 0.3770 0.3770 0.5797  1 O 2.22
Ag 0.6230 0.6230 0.4203  1 O 2.22
O 0.1561 0.1561 0.3292  1 Np 1.85
O 0.8439 0.8439 0.6708  1 Np 1.85
F 0.1853 0.6584 0.1824  1 Np 2.18
F 0.3416 0.8147 0.8176  1 Np 2.18
F 0.6584 0.1853 0.1824  1 Np 2.18
F 0.8147 0.3416 0.8176  1 Np 2.18

---

Material: Rb2NpAgF8
Method: DFT, PBE
State: relaxed

## Properties
- Formation energy without anion corrections: -2765 meV per atom
- Space group: No. 119
- Density of states at the Fermi level: 11.54 states/eV/f.u.

Unit cell a=7.2452 b=7.2452 c=7.2452 alpha=129.63 beta=129.63 gamma=74.00
With the nearest neighbours (Å) after each atom.
Element x y z (fractional)
Rb 0.0000 0.0000 0.0000  8 F 2.78
Rb 0.7500 0.2500 0.5000  8 F 2.86
Np 0.2500 0.7500 0.5000  8 F 2.21
Ag 0.5000 0.5000 0.0000  8 F 2.70
F 0.1598 0.0728 0.5114  1 Np 2.21
F 0.1598 0.6484 0.0869  1 Np 2.21
F 0.3516 0.4386 0.5114  1 Np 2.21
F 0.3516 0.8402 0.9131  1 Np 2.21
F 0.5614 0.0728 0.9131  1 Np 2.21
F 0.5614 0.6484 0.4886  1 Np 2.21
F 0.9272 0.4386 0.0869  1 Np 2.21
F 0.9272 0.8402 0.4886  1 Np 2.21

---

Material: RbNpAg2F8
Method: DFT, PBE
State: relaxed

## Properties
- Formation energy without anion corrections: -2355 meV per atom
- Space group: No. 164
- Density of states at the Fermi level: 9.85 states/eV/f.u.

Unit cell a=5.7027 b=5.7027 c=9.1025 alpha=90.00 beta=90.00 gamma=120.00
With the nearest neighbours (Å) after each atom.
Element x y z (fractional)
Rb 0.0000 0.0000 0.0000  12 F 3.35-3.66, 6 Ag 3.63
Np 0.0000 0.0000 0.5000  6 F 2.08
Ag 0.3333 0.6667 0.1671  1 F 2.11
Ag 0.6667 0.3333 0.8329  1 F 2.11
F 0.1661 0.3322 0.3590  1 Np 2.08
F 0.1661 0.8339 0.3590  1 Np 2.08
F 0.3322 0.1661 0.6410  1 Np 2.08
F 0.3333 0.6667 0.9348  1 Ag 2.11
F 0.6667 0.3333 0.0652  1 Ag 2.11
F 0.6678 0.8339 0.3590  1 Np 2.08
F 0.8339 0.1661 0.6410  1 Np 2.08
F 0.8339 0.6678 0.6410  1 Np 2.08